## AcAgO2F (GGA-PBE)

Data for a relaxed structure of AcAgO2F.

The structure in CIF format:
```
data_AcAgO2F
_chemical_formula_sum 'Ac4 Ag4 O8 F4'
_cell_length_a 3.856
_cell_length_b 12.131
_cell_length_c 7.477
_cell_angle_alpha 90.00
_cell_angle_beta 90.00
_cell_angle_gamma 90.00
_space_group_name_H-M_alt 'C m c m'
_space_group_IT_number 63
_space_group_name_Hall '-C 2c 2'
loop_
_atom_site_label
_atom_site_type_symbol
_atom_site_fract_x
_atom_site_fract_y
_atom_site_fract_z
Ac1 Ac 0.000 0.245 0.250
Ag1 Ag 0.000 0.500 0.000
O1 O 0.000 0.337 0.561
F1 F 0.000 0.115 0.750
```

Results
* M_tot: 0.6 μB per formula unit
* E_form (uncorrected): -2115 meV per atom
* total DFT energy (no corrections): -0.216 Ha/atom